(1)
Computed, not measured: Ac3TaTl3Se8 after structural relaxation at the PBE level of DFT.

Cell: 9.3408 9.3408 9.3408 Å, 55.76 55.76 55.76°
Positions (direct):
Ac 0.0000 0.5000 0.5000
Ac 0.5000 0.0000 0.5000
Ac 0.5000 0.5000 0.0000
Ta 0.0000 0.0000 0.0000
Tl 0.0000 0.0000 0.5000
Tl 0.0000 0.5000 0.0000
Tl 0.5000 0.0000 0.0000
Se 0.2098 0.2098 0.7786
Se 0.2098 0.7786 0.2098
Se 0.2214 0.7902 0.7902
Se 0.2584 0.2584 0.2584
Se 0.7416 0.7416 0.7416
Se 0.7786 0.2098 0.2098
Se 0.7902 0.2214 0.7902
Se 0.7902 0.7902 0.2214

mass density	6.732	Mg/m³
calculated total energy	-0.190	hartree per atom
D(E_F)	4.54	states/eV/f.u.
formation energy without anion corrections	-1.221	eV per atom

(2)
Computed, not measured: AcTb2Se5 after structural relaxation at the PBE level of DFT.

Cell: 8.7086 8.7086 8.7086 Å, 126.84 126.84 78.51°
Positions (direct):
Ac 0.2500 0.2500 0.0000
Ac 0.7500 0.7500 0.0000
Tb 0.1566 0.6566 0.8133
Tb 0.3434 0.1566 0.5000
Tb 0.6566 0.8434 0.5000
Tb 0.8434 0.3434 0.1867
Se 0.0000 0.0000 0.0000
Se 0.0093 0.2070 0.5000
Se 0.2070 0.7070 0.1977
Se 0.2930 0.4907 0.5000
Se 0.4907 0.9907 0.1977
Se 0.5000 0.5000 0.0000
Se 0.5093 0.0093 0.8023
Se 0.7070 0.5093 0.5000
Se 0.7930 0.2930 0.8023
Se 0.9907 0.7930 0.5000

mass density	7.620	Mg/m³
calculated total energy	-0.206	hartree per atom
D(E_F)	5.83	states/eV/f.u.
formation energy without anion corrections	-1.746	eV per atom

(3)
Computed, not measured: Ac4TbSe5 after structural relaxation at the PBE level of DFT.

Cell: 15.8599 15.8599 15.8599 Å, 164.03 164.03 22.66°
Positions (direct):
Ac 0.0995 0.0995 0.0000
Ac 0.3039 0.3039 0.0000
Ac 0.6961 0.6961 0.0000
Ac 0.9005 0.9005 0.0000
Tb 0.5000 0.5000 0.0000
Se 0.0000 0.0000 0.0000
Se 0.2019 0.2019 0.0000
Se 0.4063 0.4063 0.0000
Se 0.5937 0.5937 0.0000
Se 0.7981 0.7981 0.0000

mass density	8.035	Mg/m³
calculated total energy	-0.208	hartree per atom
D(E_F)	5.29	states/eV/f.u.
formation energy without anion corrections	-1.808	eV per atom

(4)
Computed, not measured: Ac2TbSe4 after structural relaxation at the PBE level of DFT.

Cell: 13.9307 4.1484 8.7067 Å, 90.00 121.33 90.00°
Positions (direct):
Ac 0.1473 0.0000 0.2016
Ac 0.3527 0.5000 0.7984
Ac 0.6473 0.5000 0.2016
Ac 0.8527 0.0000 0.7984
Tb 0.0000 0.5000 0.5000
Tb 0.5000 0.0000 0.5000
Se 0.0573 0.5000 0.8677
Se 0.1632 0.0000 0.5788
Se 0.3368 0.5000 0.4212
Se 0.4427 0.0000 0.1323
Se 0.5573 0.0000 0.8677
Se 0.6632 0.5000 0.5788
Se 0.8368 0.0000 0.4212
Se 0.9427 0.5000 0.1323

mass density	7.177	Mg/m³
calculated total energy	-0.211	hartree per atom
D(E_F)	0.87	states/eV/f.u.
formation energy without anion corrections	-1.910	eV per atom
energy relative to the lowest polymorph listed for this composition	0.0000	eV/atom

(5)
Computed, not measured: AcTbSe2 after structural relaxation at the PBE level of DFT.

Cell: 4.1965 4.1965 21.8059 Å, 90.00 90.00 120.00°
Positions (direct):
Ac 0.0000 0.0000 0.0000
Ac 0.3333 0.6667 0.6667
Ac 0.6667 0.3333 0.3333
Tb 0.0000 0.0000 0.5000
Tb 0.3333 0.6667 0.1667
Tb 0.6667 0.3333 0.8333
Se 0.0000 0.0000 0.2404
Se 0.0000 0.0000 0.7595
Se 0.3333 0.6667 0.4262
Se 0.3333 0.6667 0.9071
Se 0.6667 0.3333 0.0929
Se 0.6667 0.3333 0.5738

mass density	8.147	Mg/m³
calculated total energy	-0.211	hartree per atom
D(E_F)	1.72	states/eV/f.u.
formation energy without anion corrections	-1.812	eV per atom
energy relative to the lowest polymorph listed for this composition	0.0000	eV/atom

(6)
Computed, not measured: Ac2TbSe3 after structural relaxation at the PBE level of DFT.

Cell: 14.2542 13.5910 7.5598 Å, 79.15 69.46 31.39°
Positions (direct):
Ac 0.0446 0.0446 0.2054
Ac 0.1227 0.1227 0.6273
Ac 0.2054 0.2054 0.0446
Ac 0.3727 0.3727 0.8773
Ac 0.6273 0.6273 0.1227
Ac 0.7946 0.7946 0.9554
Ac 0.8773 0.8773 0.3727
Ac 0.9554 0.9554 0.7946
Tb 0.2918 0.2918 0.4582
Tb 0.4582 0.4582 0.2918
Tb 0.5418 0.5418 0.7082
Tb 0.7082 0.7082 0.5418
Se 0.0369 0.5388 0.2324
Se 0.1485 0.6015 0.6015
Se 0.2324 0.6919 0.0369
Se 0.3081 0.7676 0.4612
Se 0.3985 0.8515 0.8515
Se 0.4612 0.9631 0.3081
Se 0.5388 0.0369 0.6919
Se 0.6015 0.1485 0.1485
Se 0.6919 0.2324 0.5388
Se 0.7676 0.3081 0.9631
Se 0.8515 0.3985 0.3985
Se 0.9631 0.4612 0.7676

mass density	8.116	Mg/m³
calculated total energy	-0.210	hartree per atom
D(E_F)	3.05	states/eV/f.u.
formation energy without anion corrections	-1.818	eV per atom

(7)
Computed, not measured: AcTbSe2 after structural relaxation at the PBE level of DFT.

Cell: 4.1604 4.1604 22.5971 Å, 90.00 90.00 120.00°
Positions (direct):
Ac 0.0000 0.0000 0.0000
Ac 0.3333 0.6667 0.6667
Ac 0.6667 0.3333 0.3333
Tb 0.0000 0.0000 0.8242
Tb 0.3333 0.6667 0.4908
Tb 0.6667 0.3333 0.1575
Se 0.0000 0.0000 0.2361
Se 0.0000 0.0000 0.4223
Se 0.3333 0.6667 0.0890
Se 0.3333 0.6667 0.9027
Se 0.6667 0.3333 0.5694
Se 0.6667 0.3333 0.7556

mass density	7.998	Mg/m³
calculated total energy	-0.210	hartree per atom
D(E_F)	1.43	states/eV/f.u.
formation energy without anion corrections	-1.778	eV per atom
energy relative to the lowest polymorph listed for this composition	0.0348	eV/atom

(8)
Computed, not measured: AcTbSe2 after structural relaxation at the PBE level of DFT.

Cell: 7.4268 7.4268 7.4268 Å, 90.00 90.00 90.00°
Positions (direct):
Ac 0.0000 0.0000 0.0000
Ac 0.0000 0.5000 0.5000
Ac 0.5000 0.0000 0.5000
Ac 0.5000 0.5000 0.0000
Tb 0.0000 0.0000 0.5000
Tb 0.0000 0.5000 0.0000
Tb 0.5000 0.0000 0.0000
Tb 0.5000 0.5000 0.5000
Se 0.2500 0.2500 0.2500
Se 0.2500 0.2500 0.7500
Se 0.2500 0.7500 0.2500
Se 0.2500 0.7500 0.7500
Se 0.7500 0.2500 0.2500
Se 0.7500 0.2500 0.7500
Se 0.7500 0.7500 0.2500
Se 0.7500 0.7500 0.7500

mass density	8.818	Mg/m³
calculated total energy	-0.201	hartree per atom
D(E_F)	2.84	states/eV/f.u.
formation energy without anion corrections	-1.540	eV per atom
energy relative to the lowest polymorph listed for this composition	0.2721	eV/atom

(9)
Computed, not measured: Ac3Tb4Se8 after structural relaxation at the PBE level of DFT.

Cell: 8.5493 8.5493 8.4494 Å, 119.61 119.61 90.03°
Positions (direct):
Ac 0.0000 0.0000 0.0000
Ac 0.0000 0.5000 0.5000
Ac 0.5000 0.0000 0.5000
Tb 0.0000 0.5000 0.0000
Tb 0.5000 0.0000 0.0000
Tb 0.5000 0.5000 0.0000
Tb 0.5000 0.5000 0.5000
Se 0.2564 0.7436 0.5000
Se 0.2590 0.7410 0.0000
Se 0.2626 0.2626 0.0089
Se 0.2668 0.2668 0.5182
Se 0.7332 0.7332 0.4818
Se 0.7374 0.7374 0.9911
Se 0.7410 0.2590 0.0000
Se 0.7436 0.2564 0.5000

mass density	7.324	Mg/m³
calculated total energy	-0.211	hartree per atom
D(E_F)	7.33	states/eV/f.u.
formation energy without anion corrections	-1.822	eV per atom

(10)
Computed, not measured: AcTb3Se4 after structural relaxation at the PBE level of DFT.

Cell: 4.1392 4.1392 28.1578 Å, 90.00 90.00 120.00°
Positions (direct):
Ac 0.3333 0.6667 0.2500
Ac 0.6667 0.3333 0.7500
Tb 0.0000 0.0000 0.0000
Tb 0.0000 0.0000 0.5000
Tb 0.3333 0.6667 0.6171
Tb 0.3333 0.6667 0.8829
Tb 0.6667 0.3333 0.1171
Tb 0.6667 0.3333 0.3829
Se 0.0000 0.0000 0.1758
Se 0.0000 0.0000 0.3242
Se 0.0000 0.0000 0.6758
Se 0.0000 0.0000 0.8242
Se 0.3333 0.6667 0.0588
Se 0.3333 0.6667 0.4412
Se 0.6667 0.3333 0.5588
Se 0.6667 0.3333 0.9412

mass density	8.105	Mg/m³
calculated total energy	-0.212	hartree per atom
D(E_F)	5.22	states/eV/f.u.
formation energy without anion corrections	-1.781	eV per atom

(11)
Computed, not measured: AcTb4Se6 after structural relaxation at the PBE level of DFT.

Cell: 7.0447 7.0447 20.9993 Å, 90.00 90.00 145.85°
Positions (direct):
Ac 0.1576 0.8424 0.7500
Ac 0.8424 0.1576 0.2500
Tb 0.0936 0.9064 0.1232
Tb 0.0936 0.9064 0.3768
Tb 0.3589 0.6411 0.0375
Tb 0.3589 0.6411 0.4625
Tb 0.6411 0.3589 0.5375
Tb 0.6411 0.3589 0.9625
Tb 0.9064 0.0936 0.6232
Tb 0.9064 0.0936 0.8768
Se 0.0000 0.0000 0.0000
Se 0.0000 0.0000 0.5000
Se 0.1732 0.8268 0.2500
Se 0.2652 0.7348 0.5911
Se 0.2652 0.7348 0.9089
Se 0.4550 0.5450 0.1618
Se 0.4550 0.5450 0.3382
Se 0.5450 0.4550 0.6618
Se 0.5450 0.4550 0.8382
Se 0.7348 0.2652 0.0911
Se 0.7348 0.2652 0.4089
Se 0.8268 0.1732 0.7500

mass density	7.588	Mg/m³
calculated total energy	-0.215	hartree per atom
D(E_F)	3.43	states/eV/f.u.
formation energy without anion corrections	-1.882	eV per atom

(12)
Computed, not measured: AcTbSe2 after structural relaxation at the PBE level of DFT.

Cell: 4.4595 9.5540 6.8640 Å, 90.00 90.00 90.00°
Positions (direct):
Ac 0.0000 0.0931 0.0000
Ac 0.5000 0.9069 0.5000
Tb 0.0000 0.6486 0.8761
Tb 0.5000 0.3514 0.3761
Se 0.0000 0.4132 0.1419
Se 0.0000 0.8142 0.2088
Se 0.5000 0.1858 0.7088
Se 0.5000 0.5868 0.6419

mass density	6.176	Mg/m³
calculated total energy	-0.196	hartree per atom
D(E_F)	2.23	states/eV/f.u.
formation energy without anion corrections	-1.411	eV per atom
energy relative to the lowest polymorph listed for this composition	0.4010	eV/atom